A relaxed structure of K2CrSnF6. Source: Alexandria, functional PBE with a Hubbard U.

Cell lengths 6.241, 6.094, 6.237 Å; angles 119.24, 117.61, 90.00 degrees
Site moments in Bohr magnetons follow the coordinates.
Element x y z (fractional)
K (0.228, 0.243, 0.486)  0.00
K (0.772, 0.757, 0.514)  0.00
Cr (0.000, 0.500, 0.000)  3.81
Sn (0.500, 0.000, 0.000)  0.01
F (0.340, 0.750, 0.500)  0.01
F (0.174, 0.213, 0.897)  0.00
F (0.826, 0.316, 0.103)  0.00
F (0.174, 0.684, 0.897)  0.00
F (0.826, 0.787, 0.103)  0.00
F (0.660, 0.250, 0.500)  0.01

Properties
D(E_F), states/eV per atom: 0.000
DFT total energy, eV for the cell shown: -50.631
Space-group type: C2/m (12)